{
  "formula": "Ni9Sb",
  "functional": "GGA-PBE",
  "state": "relaxed",
  "cell": [[2.633, 0.000, 0.000], [0.000, 3.405, 0.000], [0.000, 0.000, 36.782]],
  "species": ["Ni", "Ni", "Ni", "Ni", "Ni", "Ni", "Ni", "Ni", "Ni", "Ni", "Ni", "Ni", "Ni", "Ni", "Ni", "Ni", "Ni", "Ni", "Sb", "Sb"],
  "fractional_positions": [[0.500, 0.500, 0.550], [0.000, 0.000, 0.517], [0.500, 0.500, 0.283], [0.000, 0.000, 0.650], [0.500, 0.500, 0.617], [0.000, 0.000, 0.785], [0.500, 0.500, 0.350], [0.000, 0.000, 0.250], [0.500, 0.500, 0.215], [0.000, 0.000, 0.450], [0.000, 0.000, 0.717], [0.500, 0.500, 0.750], [0.000, 0.000, 0.316], [0.500, 0.500, 0.684], [0.000, 0.000, 0.383], [0.500, 0.500, 0.483], [0.500, 0.500, 0.417], [0.000, 0.000, 0.583], [0.500, 0.500, 0.827], [0.000, 0.000, 0.173]],
  "energy_ev_per_cell": -107.2,
  "sg": "Pmmn (59)",
  "relative_energy_kj_per_mol_atoms": 0.0,
  "vol_a3_per_atom": 16.488
}